1.
Here is an optimized crystal structure of ScNi3 from OQMD. Energies are from PBE.

abc: 5.3286 5.3286 4.2067
angles: 90.00 90.00 120.00
Each line ends with the local moment (μB).
Fractional coordinates of all 8 atoms:
Ni  0.6864  0.8432  0.2500  0.12
Ni  0.8432  0.1568  0.7500  0.16
Ni  0.8432  0.6864  0.7500  0.15
Ni  0.1568  0.3136  0.2500  0.15
Ni  0.3136  0.1568  0.7500  0.12
Ni  0.1568  0.8432  0.2500  0.16
Sc  0.3333  0.6667  0.7500  -0.04
Sc  0.6667  0.3333  0.2500  -0.04

Computed properties:
Size of the total moment, μB/atom: 0.091
Crystal system: hexagonal
Energy of formation, eV per atom: -0.3995
Total DFT energy (no corrections), eV/atom: -6.157
Density, kg/m3: 7096

---

2.
Here is an optimized crystal structure of ScNi2 from OQMD. Energies are from PBE.

abc: 4.8118 4.8118 4.4466
angles: 90.00 90.00 90.00
Fractional coordinates of all 6 atoms:
Ni  0.1681  0.8319  0.5000
Ni  0.6681  0.6681  0.0000
Ni  0.3319  0.3319  0.0000
Ni  0.8319  0.1681  0.5000
Sc  0.0000  0.0000  0.0000
Sc  0.5000  0.5000  0.5000

Computed properties:
Size of the total moment, μB/atom: 0.000
Crystal system: tetragonal
Energy of formation, eV per atom: 0.6319
Total DFT energy (no corrections), eV/atom: -5.189
Density, kg/m3: 5237

---

3.
Here is an optimized crystal structure of ScNi3 from OQMD. Energies are from PBE.

abc: 3.7054 3.7054 3.7054
angles: 90.00 90.00 90.00
Each line ends with the local moment (μB).
Fractional coordinates of all 4 atoms:
Sc  0.0000  0.0000  0.0000  -0.05
Ni  0.5000  0.0000  0.5000  0.22
Ni  0.5000  0.5000  0.0000  0.22
Ni  0.0000  0.5000  0.5000  0.14

Computed properties:
Size of the total moment, μB/atom: 0.122
Crystal system: cubic
Energy of formation, eV per atom: -0.4095
Total DFT energy (no corrections), eV/atom: -6.167
Density, kg/m3: 7215

---

4.
Here is an optimized crystal structure of Sc2NiSe4 from OQMD. Energies are from PBE.

abc: 7.6706 7.6706 7.6706
angles: 60.00 60.00 60.00
Each line ends with the local moment (μB).
Fractional coordinates of all 14 atoms:
Se  0.6242  0.6242  0.6242  0.07
Se  0.1275  0.6242  0.6242  0.03
Se  0.6242  0.1275  0.6242  0.07
Se  0.1258  0.1258  0.6225  0.08
Se  0.1258  0.6225  0.1258  0.07
Se  0.6242  0.6242  0.1275  0.08
Se  0.1258  0.1258  0.1258  0.07
Se  0.6225  0.1258  0.1258  0.03
Sc  0.3750  0.3750  0.3750  0.04
Sc  0.3750  0.3750  0.8750  0.04
Sc  0.3750  0.8750  0.3750  0.04
Sc  0.8750  0.3750  0.3750  0.05
Ni  0.7500  0.7500  0.7500  0.97
Ni  0.0000  0.0000  0.0000  0.97

Computed properties:
Size of the total moment, μB/atom: 0.217
Crystal system: cubic
Total DFT energy (no corrections), eV/atom: -5.763
Density, kg/m3: 4833